Arrangement A

LiTbYAg: optimized geometry, PBE-GGA.

Values from the calculation:
Spin magnetization: 0.00 μB/cell
Calculated volume: 98.1 Å³/cell
D(E_F): 3.16 states/eV per cell

Cell: 3.6970 5.1329 5.1718 Å, 90.00 90.00 90.00°
Closest atoms and distances in Å follow each position.
Space group Pmmm (No. 47)
Asymmetric unit:
Li 0.0000 0.0000 0.0000 [1 per cell]  4 Y 3.16, 4 Tb 3.18
Tb 0.5000 0.0000 0.5000 [1 per cell]  4 Ag 3.16, 4 Li 3.18
Y 0.5000 0.5000 0.0000 [1 per cell]  4 Li 3.16, 4 Ag 3.18
Ag 0.0000 0.5000 0.5000 [1 per cell]  4 Tb 3.16, 4 Y 3.18

Arrangement B

LiTbYAg: optimized geometry, PBE-GGA.

Values from the calculation:
Spin magnetization: 0.00 μB/cell
Calculated volume: 393.4 Å³/cell
D(E_F): 15.53 states/eV per cell

Cell: 7.3275 7.3275 7.3275 Å, 90.00 90.00 90.00°
Closest atoms and distances in Å follow each position.
Space group F-43m (No. 216)
Asymmetric unit:
Li 0.0000 0.0000 0.0000 [4 per cell]  4 Tb 3.17, 4 Y 3.17
Tb 0.2500 0.2500 0.7500 [4 per cell]  4 Li 3.17, 4 Ag 3.17
Y 0.2500 0.2500 0.2500 [4 per cell]  4 Li 3.17, 4 Ag 3.17
Ag 0.0000 0.0000 0.5000 [4 per cell]  4 Tb 3.17, 4 Y 3.17

Quick one: most stable of them? arrangement A

Arrangement A

LiTc2Ag: optimized geometry, PBE-GGA.

Values from the calculation:
Spin magnetization: 0.00 μB/cell
Calculated volume: 235.8 Å³/cell
D(E_F): 30.94 states/eV per cell

Cell: 6.1783 6.1783 6.1783 Å, 90.00 90.00 90.00°
Closest atoms and distances in Å follow each position.
Space group Fm-3m (No. 225)
Asymmetric unit:
Li 0.0000 0.0000 0.0000 [4 per cell]  8 Tc 2.68
Tc 0.2500 0.2500 0.2500 [8 per cell]  4 Ag 2.68, 4 Li 2.68
Ag 0.0000 0.0000 0.5000 [4 per cell]  8 Tc 2.68

Arrangement B

LiTc2Ag: optimized geometry, PBE-GGA.

Values from the calculation:
Spin magnetization: 0.00 μB/cell
Calculated volume: 59.9 Å³/cell
D(E_F): 2.22 states/eV per cell

Cell: 2.6359 4.5488 4.9972 Å, 90.00 90.00 90.00°
Closest atoms and distances in Å follow each position.
Space group Pmmm (No. 47)
Asymmetric unit:
Li 0.0000 0.0000 0.0000 [1 per cell]  2 Ag 2.50, 2 Li 2.64
Tc 0.5000 0.5000 0.2302 [2 per cell]  1 Tc 2.30
Ag 0.0000 0.0000 0.5000 [1 per cell]  2 Li 2.50, 2 Ag 2.64

Quick one: most stable of them? arrangement B

Arrangement A

LiTc2Ag: optimized geometry, PBE-GGA.

Values from the calculation:
Spin magnetization: 0.00 μB/cell
Calculated volume: 123.9 Å³/cell
D(E_F): 6.27 states/eV per cell

Cell: 2.8977 4.5618 9.3742 Å, 90.00 90.00 90.00°
Closest atoms and distances in Å follow each position.
Space group Cmm2 (No. 35)
Asymmetric unit:
Li 0.0000 0.0000 0.0000 [2 per cell]  6 Li 2.70-2.90, 2 Tc 2.74, 2 Ag 2.76
Tc 0.0000 0.0000 0.5240 [2 per cell]  6 Tc 2.58-2.70
Tc 0.0000 0.5000 0.7515 [2 per cell]  6 Tc 2.58-2.70, 2 Li 2.74
Ag 0.0000 0.5000 0.2510 [2 per cell]  6 Ag 2.70-2.90, 2 Li 2.76, 2 Tc 2.94

Arrangement B

LiTc2Ag: optimized geometry, PBE-GGA.

Values from the calculation:
Spin magnetization: 0.00 μB/cell
Calculated volume: 60.9 Å³/cell
D(E_F): 3.56 states/eV per cell

Cell: 2.7681 3.8219 5.7565 Å, 90.00 90.00 90.00°
Closest atoms and distances in Å follow each position.
Space group Pmm2 (No. 25)
Asymmetric unit:
Li 0.0000 0.0000 0.0000 [1 per cell]  4 Ag 2.66, 5 Tc 2.71-2.88, 2 Li 2.77
Tc 0.0000 0.0000 0.4704 [1 per cell]  6 Tc 2.59-2.77, 1 Li 2.71
Tc 0.5000 0.5000 0.2859 [1 per cell]  6 Tc 2.59-2.77, 2 Ag 2.88, 4 Li 2.88
Ag 0.5000 0.5000 0.7855 [1 per cell]  4 Li 2.66, 2 Ag 2.77, 6 Tc 2.88-2.98

Arrangement C

LiTc2Ag: optimized geometry, PBE-GGA.

Values from the calculation:
Spin magnetization: 0.00 μB/cell
Calculated volume: 121.7 Å³/cell
D(E_F): 7.29 states/eV per cell

Cell: 8.7570 2.6516 5.2524 Å, 90.00 94.07 90.00°
Closest atoms and distances in Å follow each position.
Space group Cm (No. 8)
Asymmetric unit:
Li 0.0000 0.0000 0.0000 [2 per cell]  3 Ag 2.50-2.69, 2 Li 2.65, 1 Tc 2.74
Tc 0.2460 0.0000 0.7043 [2 per cell]  3 Tc 2.37-2.65
Tc 0.4870 0.0000 0.5256 [2 per cell]  3 Tc 2.37-2.65
Ag 0.2489 0.5000 0.1975 [2 per cell]  3 Li 2.50-2.69, 2 Ag 2.65

Arrangement D

LiTc2Ag: optimized geometry, PBE-GGA.

Values from the calculation:
Spin magnetization: 0.00 μB/cell
Calculated volume: 60.5 Å³/cell
D(E_F): 1.80 states/eV per cell

Cell: 3.0022 3.0022 6.7155 Å, 90.00 90.00 90.00°
Closest atoms and distances in Å follow each position.
Space group P4mm (No. 99)
Asymmetric unit:
Li 0.0000 0.0000 0.0000 [1 per cell]  4 Ag 2.62, 4 Tc 2.72
Tc 0.0000 0.0000 0.4546 [1 per cell]  4 Tc 2.52
Tc 0.5000 0.5000 0.2529 [1 per cell]  4 Tc 2.52, 4 Li 2.72
Ag 0.5000 0.5000 0.7708 [1 per cell]  4 Li 2.62

Quick one: most stable of them? arrangement D

Arrangement A

LiTc2Ag: optimized geometry, PBE-GGA.

Values from the calculation:
Spin magnetization: 0.00 μB/cell
Calculated volume: 119.7 Å³/cell
D(E_F): 4.48 states/eV per cell

Cell: 4.9639 9.2633 2.6039 Å, 90.00 90.00 90.00°
Closest atoms and distances in Å follow each position.
Space group Cmmm (No. 65)
Asymmetric unit:
Li 0.0000 0.0000 0.0000 [2 per cell]  2 Ag 2.48, 2 Li 2.60
Tc 0.2500 0.2500 0.5000 [4 per cell]  4 Tc 2.48-2.60
Ag 0.0000 0.5000 0.0000 [2 per cell]  2 Li 2.48, 2 Ag 2.60

Arrangement B

LiTc2Ag: optimized geometry, PBE-GGA.

Values from the calculation:
Spin magnetization: 4.59 μB/cell
Calculated volume: 184.8 Å³/cell
D(E_F): 15.91 states/eV per cell

Cell: 2.7108 2.7108 29.0459 Å, 90.00 90.00 120.00°
Closest atoms and distances in Å follow each position.
Space group R-3m (No. 166, hexagonal axes)
Asymmetric unit:
Li 0.0000 0.0000 0.0000 [3 per cell]  6 Li 2.71, 6 Tc 2.85
Tc 0.0000 0.0000 0.2514 [6 per cell]  6 Tc 2.71, 3 Li 2.85, 3 Ag 2.92
Ag 0.0000 0.0000 0.5000 [3 per cell]  6 Ag 2.71, 6 Tc 2.92

Arrangement C

LiTc2Ag: optimized geometry, PBE-GGA.

Values from the calculation:
Spin magnetization: 0.00 μB/cell
Calculated volume: 59.0 Å³/cell
D(E_F): 2.95 states/eV per cell

Cell: 3.5722 3.5722 4.6218 Å, 90.00 90.00 90.00°
Closest atoms and distances in Å follow each position.
Space group P4/mmm (No. 123)
Asymmetric unit:
Li 0.0000 0.0000 0.0000 [1 per cell]  4 Ag 2.53
Tc 0.0000 0.5000 0.5000 [2 per cell]  4 Tc 2.53
Ag 0.5000 0.5000 0.0000 [1 per cell]  4 Li 2.53

Arrangement D

LiTc2Ag: optimized geometry, PBE-GGA.

Values from the calculation:
Spin magnetization: 0.00 μB/cell
Calculated volume: 122.0 Å³/cell
D(E_F): 8.09 states/eV per cell

Cell: 3.1612 4.0925 9.4297 Å, 90.00 90.00 90.00°
Closest atoms and distances in Å follow each position.
Space group Cmmm (No. 65)
Asymmetric unit:
Li 0.0000 0.0000 0.0000 [2 per cell]  4 Li 2.59, 4 Tc 2.78
Tc 0.0000 0.5000 0.2428 [4 per cell]  4 Tc 2.59, 2 Li 2.78, 2 Ag 2.90
Ag 0.0000 0.0000 0.5000 [2 per cell]  4 Ag 2.59, 4 Tc 2.90

Quick one: most stable of them? arrangement C

Arrangement A

LiTc2Ag: optimized geometry, PBE-GGA.

Values from the calculation:
Spin magnetization: 0.00 μB/cell
Calculated volume: 60.5 Å³/cell
D(E_F): 2.17 states/eV per cell

Cell: 2.6244 4.7960 4.8939 Å, 90.00 100.72 90.00°
Closest atoms and distances in Å follow each position.
Space group P2/m (No. 10)
Asymmetric unit:
Li 0.0000 0.0000 0.0000 [1 per cell]  2 Ag 2.55, 2 Li 2.62, 4 Tc 2.83
Tc 0.2880 0.5000 0.7620 [2 per cell]  3 Tc 2.39-2.62
Ag 0.5000 0.0000 0.5000 [1 per cell]  2 Li 2.55, 2 Ag 2.62, 4 Tc 2.82

Arrangement B

LiTc2Ag: optimized geometry, PBE-GGA.

Values from the calculation:
Spin magnetization: 0.00 μB/cell
Calculated volume: 119.4 Å³/cell
D(E_F): 5.92 states/eV per cell

Cell: 3.7454 4.4339 7.1887 Å, 90.00 90.00 90.00°
Closest atoms and distances in Å follow each position.
Space group Imm2 (No. 44)
Asymmetric unit:
Li 0.0000 0.0000 0.0000 [2 per cell]  2 Ag 2.55, 4 Tc 2.64-2.82
Tc 0.0000 0.0000 0.5181 [2 per cell]  2 Tc 2.47, 4 Ag 2.73-2.74
Tc 0.0000 0.5000 0.2418 [2 per cell]  2 Tc 2.47, 2 Li 2.64
Ag 0.0000 0.5000 0.7399 [2 per cell]  2 Li 2.55, 4 Tc 2.73-2.74

Arrangement C

LiTc2Ag: optimized geometry, PBE-GGA.

Values from the calculation:
Spin magnetization: 0.00 μB/cell
Calculated volume: 120.5 Å³/cell
D(E_F): 6.69 states/eV per cell

Cell: 5.0800 9.5169 2.5980 Å, 90.00 106.38 90.00°
Closest atoms and distances in Å follow each position.
Space group C2/m (No. 12)
Asymmetric unit:
Li 0.0000 0.0000 0.0000 [2 per cell]  2 Ag 2.54, 2 Li 2.60, 4 Tc 2.83
Tc 0.2500 0.2500 0.5000 [4 per cell]  4 Tc 2.54-2.60, 2 Li 2.83, 2 Ag 2.83
Ag 0.0000 0.5000 0.0000 [2 per cell]  2 Li 2.54, 2 Ag 2.60, 4 Tc 2.83

Quick one: most stable of them? arrangement A

Arrangement A

LiTc3Ag: optimized geometry, PBE-GGA.

Values from the calculation:
Spin magnetization: 9.29 μB/cell
Calculated volume: 125.7 Å³/cell
D(E_F): 7.59 states/eV per cell

Cell: 5.0092 5.0092 5.0092 Å, 90.00 90.00 90.00°
Closest atoms and distances in Å follow each position.
Space group Pm-3m (No. 221)
Asymmetric unit:
Li 0.0000 0.0000 0.0000 [1 per cell]  12 Tc 3.54
Tc 0.0000 0.5000 0.5000 [3 per cell]  2 Ag 2.50
Ag 0.5000 0.5000 0.5000 [1 per cell]  6 Tc 2.50

Arrangement B

LiTc3Ag: optimized geometry, PBE-GGA.

Values from the calculation:
Spin magnetization: 0.00 μB/cell
Calculated volume: 72.5 Å³/cell
D(E_F): 5.95 states/eV per cell

Cell: 4.1689 4.1689 4.1689 Å, 90.00 90.00 90.00°
Closest atoms and distances in Å follow each position.
Space group Pm-3m (No. 221)
Asymmetric unit:
Li 0.0000 0.0000 0.0000 [1 per cell]  6 Tc 2.08
Tc 0.0000 0.0000 0.5000 [3 per cell]  2 Li 2.08
Ag 0.5000 0.5000 0.5000 [1 per cell]  12 Tc 2.95

Quick one: most stable of them? arrangement B